A relaxed structure of Sm2ScNiO6. Source: Alexandria, functional PBE+U.

Computed properties:
Calculated volume (Å³/cell): 244.00
VASP energy (eV per atom): -7.589

Unit cell a=5.390 b=5.570 c=8.132 alpha=90.00 beta=87.96 gamma=90.00
Site moments in Bohr magnetons follow the coordinates.
Positions (direct):
O 0.718 0.303 0.560  -0.06
O 0.894 0.534 0.246  0.04
O 0.106 0.466 0.754  0.04
O 0.218 0.197 0.060  -0.06
Ni 0.000 0.500 0.500  1.14
O 0.606 0.034 0.254  0.04
Sm 0.981 0.057 0.745  0.00
O 0.807 0.785 0.554  -0.05
O 0.307 0.715 0.054  -0.05
Sc 0.500 0.000 0.500  0.02
Sm 0.481 0.443 0.245  0.00
Sc 0.000 0.500 0.000  0.02
O 0.394 0.966 0.746  0.04
O 0.693 0.285 0.946  -0.05
O 0.282 0.697 0.440  -0.06
Ni 0.500 0.000 0.000  1.14
O 0.193 0.215 0.446  -0.05
O 0.782 0.803 0.940  -0.06
Sm 0.019 0.943 0.255  0.00
Sm 0.519 0.557 0.755  0.00